(1)
Here is crystalline Zr2PbSe at its relaxed geometry from Alexandria. Energies are from GGA-PBE.

Lattice parameters (Å, degrees): 3.5904 5.8726 8.8619 90.00 90.00 90.00
Space group Immm (No. 71)
One atom of each set of equivalent atoms:
Zr 0.0000 0.0000 0.2130 (multiplicity 4)
Pb 0.0000 0.5000 0.0000 (multiplicity 2)
Se 0.0000 0.5000 0.5000 (multiplicity 2)

Output
For the volume, the calculation gives 93.4 Å³/f.u. The calculation puts the formation energy without anion corrections at -443 meV per atom. Its density of states at the Fermi level is 4.91 states/eV per cell. Its crystal system is orthorhombic. For the offset from the most stable computed form, the calculation gives 0.180 eV/atom.



(2)
Here is crystalline SrTlSCl at its relaxed geometry from Alexandria. Energies are from GGA-PBE.

Lattice parameters (Å, degrees): 7.4737 7.4737 7.4737 90.00 90.00 90.00
Space group F-43m (No. 216)
One atom of each set of equivalent atoms:
Sr 0.0000 0.0000 0.0000 (multiplicity 4)
Tl 0.0000 0.0000 0.5000 (multiplicity 4)
S 0.2500 0.2500 0.7500 (multiplicity 4)
Cl 0.2500 0.2500 0.2500 (multiplicity 4)

Output
For the volume, the calculation gives 104.4 Å³/f.u. The calculation puts the formation energy without anion corrections at -1395 meV per atom. Its density of states at the Fermi level is 0.00 states/eV per cell. Its crystal system is cubic. For the offset from the most stable computed form, the calculation gives 0.202 eV/atom.



(3)
Here is crystalline LiGdSc2 at its relaxed geometry from Alexandria. Energies are from GGA-PBE.

Lattice parameters (Å, degrees): 5.3261 5.3261 3.5554 90.00 90.00 90.00
Space group P4/mmm (No. 123)
One atom of each set of equivalent atoms:
Li 0.0000 0.0000 0.0000 (multiplicity 1)
Gd 0.5000 0.5000 0.0000 (multiplicity 1)
Sc 0.0000 0.5000 0.5000 (multiplicity 2)

Output
For the volume, the calculation gives 100.9 Å³/f.u. Its density of states at the Fermi level is 7.43 states/eV per cell. Its energy relative to the elements is 229 meV per atom. Its crystal system is tetragonal. For the offset from the most stable computed form, the calculation gives 0.098 eV/atom.



(4)
Here is crystalline InSb2Te2 at its relaxed geometry from Alexandria. Energies are from GGA-PBE.

Lattice parameters (Å, degrees): 4.3124 4.3124 17.0230 90.00 90.00 90.00
Space group I4/mmm (No. 139)
One atom of each set of equivalent atoms:
In 0.0000 0.0000 0.0000 (multiplicity 2)
Sb 0.0000 0.5000 0.2500 (multiplicity 4)
Te 0.0000 0.0000 0.4073 (multiplicity 4)

Output
For the volume, the calculation gives 158.3 Å³/f.u. The calculation puts the formation energy without anion corrections at 134 meV per atom. Its density of states at the Fermi level is 7.92 states/eV per cell. Its crystal system is tetragonal. For the offset from the most stable computed form, the calculation gives 0.104 eV/atom.



(5)
Here is crystalline AlSi2Pt at its relaxed geometry from Alexandria. Energies are from GGA-PBE.

Lattice parameters (Å, degrees): 9.2426 2.8206 4.7153 90.00 103.48 90.00
Space group C2/m (No. 12)
One atom of each set of equivalent atoms:
Al 0.0000 0.0000 0.0000 (multiplicity 2)
Si 0.2357 0.0000 0.7568 (multiplicity 4)
Pt 0.0000 0.5000 0.5000 (multiplicity 2)

Output
For the volume, the calculation gives 59.8 Å³/f.u. The calculation puts the formation energy without anion corrections at -125 meV per atom. Its density of states at the Fermi level is 1.91 states/eV per cell. Its crystal system is monoclinic.



(6)
Here is crystalline Sc3AlRh4 at its relaxed geometry from Alexandria. Energies are from GGA-PBE.

Lattice parameters (Å, degrees): 4.4833 4.4833 22.0028 90.00 90.00 120.00
Space group R-3m (No. 166, hexagonal axes)
One atom of each set of equivalent atoms:
Sc 0.0000 0.0000 0.0000 (multiplicity 3)
Sc 0.0000 0.0000 0.2466 (multiplicity 6)
Al 0.0000 0.0000 0.5000 (multiplicity 3)
Rh 0.0000 0.0000 0.1261 (multiplicity 6)
Rh 0.0000 0.0000 0.3769 (multiplicity 6)

Output
For the volume, the calculation gives 127.7 Å³/f.u. Its density of states at the Fermi level is 4.70 states/eV per cell. Its energy relative to the elements is -1046 meV per atom. Its crystal system is trigonal.



(7)
Here is crystalline Ba2Si2Au at its relaxed geometry from Alexandria. Energies are from GGA-PBE.

Lattice parameters (Å, degrees): 6.5354 6.5354 7.2927 90.00 90.00 90.00
Space group I4/mmm (No. 139)
One atom of each set of equivalent atoms:
Ba 0.0000 0.5000 0.2500 (multiplicity 4)
Si 0.0000 0.0000 0.1588 (multiplicity 4)
Au 0.0000 0.0000 0.5000 (multiplicity 2)

Output
For the volume, the calculation gives 155.7 Å³/f.u. The calculation puts the formation energy without anion corrections at -165 meV per atom. Its density of states at the Fermi level is 9.63 states/eV per cell. Its crystal system is tetragonal. For the offset from the most stable computed form, the calculation gives 0.201 eV/atom.



(8)
Here is crystalline DyCu6Pt4 at its relaxed geometry from Alexandria. Energies are from GGA-PBE.

Lattice parameters (Å, degrees): 6.0584 6.0584 9.6082 90.00 90.00 90.00
Space group I-42m (No. 121)
One atom of each set of equivalent atoms:
Dy 0.0000 0.0000 0.0000 (multiplicity 2)
Cu 0.0000 0.5000 0.0000 (multiplicity 4)
Cu 0.1540 0.1540 0.5863 (multiplicity 8)
Pt 0.2345 0.2345 0.3213 (multiplicity 8)

Output
For the volume, the calculation gives 176.3 Å³/f.u. Its density of states at the Fermi level is 8.11 states/eV per cell. Its energy relative to the elements is -102 meV per atom. Its crystal system is tetragonal.



(9)
Here is crystalline Ba8HgAu4 at its relaxed geometry from Alexandria. Energies are from GGA-PBE.

Lattice parameters (Å, degrees): 20.8718 4.7725 15.2039 90.00 131.51 90.00
Space group Cm (No. 8)
One atom of each set of equivalent atoms:
Ba 0.0000 0.0000 0.0000 (multiplicity 2)
Ba 0.0043 0.0000 0.5660 (multiplicity 2)
Ba 0.1507 0.5000 0.3591 (multiplicity 2)
Ba 0.1553 0.5000 0.9252 (multiplicity 2)
Ba 0.2263 0.5000 0.7151 (multiplicity 2)
Ba 0.2899 0.0000 0.2753 (multiplicity 2)
Ba 0.3653 0.0000 0.6500 (multiplicity 2)
Ba 0.4287 0.5000 0.2098 (multiplicity 2)
Hg 0.3279 0.0000 0.9624 (multiplicity 2)
Au 0.0070 0.0000 0.7877 (multiplicity 2)
Au 0.0154 0.5000 0.4202 (multiplicity 2)
Au 0.1393 0.0000 0.5045 (multiplicity 2)
Au 0.1483 0.5000 0.1376 (multiplicity 2)

Output
For the volume, the calculation gives 567.1 Å³/f.u. Its density of states at the Fermi level is 23.48 states/eV per cell. Its energy relative to the elements is -513 meV per atom. Its crystal system is monoclinic.



(10)
Here is crystalline AgPdPtO4 at its relaxed geometry from Alexandria. Energies are from GGA-PBE.

Lattice parameters (Å, degrees): 6.1390 6.3549 9.6948 90.00 90.00 90.00
Space group Imma (No. 74)
One atom of each set of equivalent atoms:
Ag 0.0000 0.2500 0.1456 (multiplicity 4)
Pd 0.2500 0.2500 0.7500 (multiplicity 4)
Pt 0.0000 0.0000 0.5000 (multiplicity 4)
O 0.0000 0.0373 0.7100 (multiplicity 8)
O 0.2127 0.2500 0.5054 (multiplicity 8)

Output
For the volume, the calculation gives 94.6 Å³/f.u. The calculation puts the formation energy without anion corrections at -340 meV per atom. Its density of states at the Fermi level is 4.58 states/eV per cell. Its crystal system is orthorhombic.



(11)
Here is crystalline NpTi2Tl at its relaxed geometry from Alexandria. Energies are from GGA-PBE.

Lattice parameters (Å, degrees): 3.1457 3.1457 28.4878 90.00 90.00 120.00
Space group R-3m (No. 166, hexagonal axes)
One atom of each set of equivalent atoms:
Np 0.0000 0.0000 0.0000 (multiplicity 3)
Ti 0.0000 0.0000 0.2523 (multiplicity 6)
Tl 0.0000 0.0000 0.5000 (multiplicity 3)

Output
For the volume, the calculation gives 81.4 Å³/f.u. Its density of states at the Fermi level is 21.91 states/eV per cell. Its energy relative to the elements is 295 meV per atom. Its crystal system is trigonal. For the offset from the most stable computed form, the calculation gives 0.074 eV/atom.



(12)
Here is crystalline CsK5Au at its relaxed geometry from Alexandria. Energies are from GGA-PBE.

Lattice parameters (Å, degrees): 22.2617 9.1774 9.5847 90.00 102.85 90.00
Space group C2/c (No. 15)
One atom of each set of equivalent atoms:
Cs 0.0000 0.2260 0.2500 (multiplicity 4)
K 0.0000 0.2562 0.7500 (multiplicity 4)
K 0.1538 0.4396 0.6039 (multiplicity 8)
K 0.1748 0.0654 0.0453 (multiplicity 8)
Au 0.0000 0.5000 0.0000 (multiplicity 4)

Output
For the volume, the calculation gives 477.3 Å³/f.u. Its density of states at the Fermi level is 20.59 states/eV per cell. Its energy relative to the elements is -67 meV per atom. Its crystal system is monoclinic.



| no. | final energy (eV per atom) |
| --- | --- |
| 1 | -6.516 |
| 2 | -3.900 |
| 3 | -6.935 |
| 4 | -3.319 |
| 5 | -5.283 |
| 6 | -7.564 |
| 7 | -3.759 |
| 8 | -4.951 |
| 9 | -2.728 |
| 10 | -5.186 |
| 11 | -7.479 |
| 12 | -1.442 |